[1]
The following is a DFT calculation (PBE) of a geometry-optimized Er2TePb structure.

a = 4.3913 Å, b = 4.3913 Å, c = 21.4994 Å
α = 90.00°, β = 90.00°, γ = 120.00°
Fractional coordinates of all 12 atoms:
Er1 0.0000 0.0000 0.2461
Er2 0.0000 0.0000 0.7539
Er3 0.3333 0.6667 0.4206
Er4 0.3333 0.6667 0.9127
Er5 0.6667 0.3333 0.0873
Er6 0.6667 0.3333 0.5794
Te1 0.0000 0.0000 0.0000
Te2 0.3333 0.6667 0.6667
Te3 0.6667 0.3333 0.3333
Pb1 0.0000 0.0000 0.5000
Pb2 0.3333 0.6667 0.1667
Pb3 0.6667 0.3333 0.8333

Output
- DFT total energy: -0.1792 Ha/atom
- D(E_F): 0.244 states/eV/atom
- Uncorrected formation energy: -3.53 eV per formula unit

---

[2]
The following is a DFT calculation (PBE) of a geometry-optimized Er2Te4Pb structure.

a = 16.8342 Å, b = 4.4021 Å, c = 7.5998 Å
α = 90.00°, β = 114.90°, γ = 90.00°
Fractional coordinates of all 14 atoms:
Er1 0.2401 0.0000 0.2233
Er2 0.2599 0.5000 0.7767
Er3 0.7401 0.5000 0.2233
Er4 0.7599 0.0000 0.7767
Te1 0.1291 0.5000 0.9635
Te2 0.1430 0.0000 0.4880
Te3 0.3570 0.5000 0.5120
Te4 0.3709 0.0000 0.0365
Te5 0.6291 0.0000 0.9635
Te6 0.6430 0.5000 0.4880
Te7 0.8570 0.0000 0.5120
Te8 0.8709 0.5000 0.0365
Pb1 0.0000 0.5000 0.5000
Pb2 0.5000 0.0000 0.5000

Output
- DFT total energy: -0.1732 Ha/atom
- Uncorrected formation energy: -7.60 eV per formula unit

---

[3]
The following is a DFT calculation (PBE) of a geometry-optimized Er4Te4Pb structure.

a = 7.5952 Å, b = 7.5952 Å, c = 10.7287 Å
α = 118.84°, β = 118.84°, γ = 33.11°
Fractional coordinates of all 9 atoms:
Er1 0.0968 0.0968 0.3991
Er2 0.3012 0.3012 0.1974
Er3 0.6988 0.6988 0.8026
Er4 0.9032 0.9032 0.6009
Te1 0.1024 0.1024 0.9018
Te2 0.3026 0.3026 0.7016
Te3 0.6974 0.6974 0.2984
Te4 0.8976 0.8976 0.0982
Pb1 0.5000 0.5000 0.5000

Output
- DFT total energy: -0.1842 Ha/atom
- D(E_F): 0.140 states/eV/atom
- Uncorrected formation energy: -10.58 eV per formula unit

---

[4]
The following is a DFT calculation (PBE) of a geometry-optimized Er8TePb2 structure.

a = 9.4302 Å, b = 9.4302 Å, c = 6.7905 Å
α = 92.87°, β = 92.87°, γ = 31.96°
Fractional coordinates of all 11 atoms:
Er1 0.0316 0.0316 0.2466
Er2 0.2139 0.2139 0.1246
Er3 0.3369 0.3369 0.5905
Er4 0.4080 0.4080 0.0678
Er5 0.5920 0.5920 0.9322
Er6 0.6631 0.6631 0.4095
Er7 0.7861 0.7861 0.8754
Er8 0.9684 0.9684 0.7534
Te1 0.5000 0.5000 0.5000
Pb1 0.1637 0.1637 0.6708
Pb2 0.8363 0.8363 0.3292

Output
- DFT total energy: -0.1717 Ha/atom
- D(E_F): 1.098 states/eV/atom
- Uncorrected formation energy: -4.33 eV per formula unit

---

[5]
The following is a DFT calculation (PBE) of a geometry-optimized Er5Te4Pb structure.

a = 7.5336 Å, b = 7.5336 Å, c = 7.5336 Å
α = 99.52°, β = 99.52°, γ = 132.00°
Fractional coordinates of all 10 atoms:
Er1 0.0000 0.0000 0.0000
Er2 0.2073 0.3996 0.6049
Er3 0.3996 0.7947 0.1923
Er4 0.6024 0.2073 0.8077
Er5 0.7947 0.6024 0.3951
Te1 0.0982 0.6981 0.7944
Te2 0.3038 0.0982 0.4001
Te3 0.6981 0.9037 0.5999
Te4 0.9037 0.3038 0.2056
Pb1 0.5001 0.5001 0.0000

Output
- DFT total energy: -0.1844 Ha/atom
- D(E_F): 0.529 states/eV/atom
- Uncorrected formation energy: -11.09 eV per formula unit

---

[6]
The following is a DFT calculation (PBE) of a geometry-optimized Er2TePb structure.

a = 6.1863 Å, b = 6.1867 Å, c = 12.4003 Å
α = 90.00°, β = 90.00°, γ = 90.00°
Fractional coordinates of all 16 atoms:
Er1 0.0000 0.2496 0.1224
Er2 0.0000 0.2504 0.6276
Er3 0.0000 0.7496 0.3724
Er4 0.0000 0.7504 0.8776
Er5 0.5000 0.2496 0.3776
Er6 0.5000 0.2504 0.8724
Er7 0.5000 0.7496 0.1276
Er8 0.5000 0.7504 0.6224
Te1 0.0000 0.2496 0.3750
Te2 0.0000 0.7504 0.6250
Te3 0.5000 0.2496 0.1250
Te4 0.5000 0.7504 0.8750
Pb1 0.0000 0.2504 0.8750
Pb2 0.0000 0.7496 0.1250
Pb3 0.5000 0.2504 0.6250
Pb4 0.5000 0.7496 0.3750

Output
- DFT total energy: -0.1800 Ha/atom
- D(E_F): 0.194 states/eV/atom
- Uncorrected formation energy: -3.62 eV per formula unit

---

[7]
The following is a DFT calculation (PBE) of a geometry-optimized Er4Te2Pb structure.

a = 8.2042 Å, b = 8.2042 Å, c = 8.2042 Å
α = 108.84°, β = 108.84°, γ = 110.74°
Fractional coordinates of all 14 atoms:
Er1 0.0092 0.7523 0.6403
Er2 0.1120 0.3689 0.3597
Er3 0.1189 0.2592 0.7569
Er4 0.2477 0.9908 0.3597
Er5 0.5023 0.3620 0.2431
Er6 0.6311 0.8880 0.6403
Er7 0.6380 0.4977 0.7569
Er8 0.7408 0.8811 0.2431
Te1 0.3273 0.6250 0.2023
Te2 0.3750 0.6727 0.7977
Te3 0.4227 0.1250 0.7977
Te4 0.8750 0.5773 0.2023
Pb1 0.0000 0.0000 0.0000
Pb2 0.7500 0.2500 0.5000

Output
- DFT total energy: -0.1775 Ha/atom
- D(E_F): 0.591 states/eV/atom
- Uncorrected formation energy: -5.57 eV per formula unit

---

[8]
The following is a DFT calculation (PBE) of a geometry-optimized ErThTePb structure.

a = 7.6966 Å, b = 7.6966 Å, c = 7.6966 Å
α = 90.00°, β = 90.00°, γ = 90.00°
Fractional coordinates of all 16 atoms:
Er1 0.0000 0.0000 0.0000
Er2 0.0000 0.5000 0.5000
Er3 0.5000 0.0000 0.5000
Er4 0.5000 0.5000 0.0000
Th1 0.0000 0.0000 0.5000
Th2 0.0000 0.5000 0.0000
Th3 0.5000 0.0000 0.0000
Th4 0.5000 0.5000 0.5000
Te1 0.2500 0.2500 0.2500
Te2 0.2500 0.7500 0.7500
Te3 0.7500 0.2500 0.7500
Te4 0.7500 0.7500 0.2500
Pb1 0.2500 0.2500 0.7500
Pb2 0.2500 0.7500 0.2500
Pb3 0.7500 0.2500 0.2500
Pb4 0.7500 0.7500 0.7500

Output
- DFT total energy: -0.1961 Ha/atom
- D(E_F): 0.859 states/eV/atom
- Uncorrected formation energy: -2.51 eV per formula unit

---

[9]
The following is a DFT calculation (PBE) of a geometry-optimized Er2Tl3Te6Pb structure.

a = 7.8466 Å, b = 7.8466 Å, c = 8.2930 Å
α = 99.07°, β = 99.07°, γ = 120.09°
Fractional coordinates of all 12 atoms:
Er1 0.1693 0.8307 0.0000
Er2 0.8307 0.1693 0.0000
Tl1 0.0000 0.0000 0.5000
Tl2 0.3399 0.6601 0.5000
Tl3 0.6601 0.3399 0.5000
Te1 0.0738 0.4249 0.7777
Te2 0.2187 0.2187 0.2143
Te3 0.4249 0.0738 0.7777
Te4 0.5751 0.9262 0.2223
Te5 0.7813 0.7813 0.7857
Te6 0.9262 0.5751 0.2223
Pb1 0.5000 0.5000 0.0000

Output
- DFT total energy: -0.1475 Ha/atom
- D(E_F): 0.560 states/eV/atom
- Uncorrected formation energy: -9.37 eV per formula unit

---

[10]
The following is a DFT calculation (PBE) of a geometry-optimized Er6Tl2Te3Pb structure.

a = 10.0304 Å, b = 10.0304 Å, c = 8.7606 Å
α = 111.30°, β = 111.30°, γ = 25.12°
Fractional coordinates of all 12 atoms:
Er1 0.0099 0.0099 0.2507
Er2 0.3299 0.3299 0.8633
Er3 0.3388 0.3388 0.3650
Er4 0.6612 0.6612 0.6350
Er5 0.6701 0.6701 0.1367
Er6 0.9901 0.9901 0.7493
Tl1 0.1867 0.1867 0.4055
Tl2 0.8133 0.8133 0.5945
Te1 0.1631 0.1631 0.8779
Te2 0.5000 0.5000 0.5000
Te3 0.8369 0.8369 0.1221
Pb1 0.5000 0.5000 0.0000

Output
- DFT total energy: -0.1681 Ha/atom
- D(E_F): 0.388 states/eV/atom
- Uncorrected formation energy: -9.65 eV per formula unit

---

[11]
The following is a DFT calculation (PBE) of a geometry-optimized Er6TlTe3Pb2 structure.

a = 9.8835 Å, b = 9.8835 Å, c = 8.7893 Å
α = 106.10°, β = 106.10°, γ = 25.53°
Fractional coordinates of all 12 atoms:
Er1 0.0014 0.0014 0.2536
Er2 0.3308 0.3308 0.9278
Er3 0.3348 0.3348 0.4178
Er4 0.6652 0.6652 0.5822
Er5 0.6692 0.6692 0.0722
Er6 0.9986 0.9986 0.7464
Tl1 0.5000 0.5000 0.5000
Te1 0.1683 0.1683 0.3284
Te2 0.5000 0.5000 0.0000
Te3 0.8317 0.8317 0.6716
Pb1 0.1642 0.1642 0.8256
Pb2 0.8358 0.8358 0.1744

Output
- DFT total energy: -0.1731 Ha/atom
- D(E_F): 0.447 states/eV/atom
- Uncorrected formation energy: -9.93 eV per formula unit

---

[12]
The following is a DFT calculation (PBE) of a geometry-optimized YErTePb structure.

a = 4.3980 Å, b = 4.3980 Å, c = 6.1997 Å
α = 90.00°, β = 90.00°, γ = 90.00°
Fractional coordinates of all 4 atoms:
Y1 0.0000 0.0000 0.0000
Er1 0.5000 0.5000 0.5000
Te1 0.0000 0.0000 0.5000
Pb1 0.5000 0.5000 0.0000

Output
- DFT total energy: -0.1984 Ha/atom
- D(E_F): 0.294 states/eV/atom
- Uncorrected formation energy: -3.72 eV per formula unit

---

Look up the DFT total energy of the tenth one.
-0.1681 Ha/atom